Entry 1:
{
  "formula": "DyTh2Mo",
  "functional": "GGA-PBE",
  "state": "relaxed",
  "formation_enthalpy_0k_kj_per_mol_fu": 62,
  "crystal_system": "tetragonal",
  "polymorph_energy_ev_per_atom": 0.000,
  "spacegroup": "No. 123",
  "lattice_angstrom": [[-0.378, 1.873, 3.050], [2.981, -1.533, 1.311], [4.652, 6.255, -3.265]],
  "species": ["Mo", "Th", "Th", "Dy"],
  "fractional_positions": [[0.500, 0.500, 0.000], [0.000, 0.000, 0.790], [0.000, 0.000, 0.210], [0.500, 0.500, 0.500]]
}

Entry 2:
{
  "formula": "DyTh2Mo",
  "functional": "GGA-PBE",
  "state": "relaxed",
  "formation_enthalpy_0k_kj_per_mol_fu": 185,
  "crystal_system": "trigonal",
  "polymorph_energy_ev_per_atom": 0.321,
  "spacegroup": "No. 166",
  "lattice_angstrom": [[3.482, 0.000, 0.000], [1.741, 3.015, 0.000], [1.741, 1.005, 10.960]],
  "species": ["Mo", "Th", "Th", "Dy"],
  "fractional_positions": [[0.500, 0.500, 0.500], [0.100, 0.100, 0.701], [0.900, 0.900, 0.299], [0.000, 0.000, 0.000]]
}

Entry 3:
{
  "formula": "DyThMo4",
  "functional": "GGA-PBE",
  "state": "relaxed",
  "formation_enthalpy_0k_kj_per_mol_fu": 49,
  "crystal_system": "cubic",
  "spacegroup": "No. 216",
  "lattice_angstrom": [[-3.693, 0.948, 4.050], [0.629, -2.432, 4.963], [1.446, 3.044, 4.426]],
  "species": ["Mo", "Mo", "Mo", "Mo", "Th", "Dy"],
  "fractional_positions": [[0.625, 0.625, 0.126], [0.625, 0.126, 0.625], [0.625, 0.625, 0.625], [0.126, 0.625, 0.625], [0.250, 0.250, 0.250], [0.000, 0.000, 0.000]]
}

Entry 4:
{
  "formula": "DyThZnMo",
  "functional": "GGA-PBE",
  "state": "relaxed",
  "formation_enthalpy_0k_kj_per_mol_fu": 24,
  "crystal_system": "cubic",
  "spacegroup": "No. 216",
  "lattice_angstrom": [[5.063, 0.000, 0.000], [2.531, 4.384, 0.000], [2.531, 1.461, 4.134]],
  "species": ["Mo", "Zn", "Th", "Dy"],
  "fractional_positions": [[0.250, 0.250, 0.250], [0.750, 0.750, 0.750], [0.000, 0.000, 0.000], [0.500, 0.500, 0.500]]
}

Entry 5:
{
  "formula": "DyTi2Mo",
  "functional": "GGA-PBE",
  "state": "relaxed",
  "formation_enthalpy_0k_kj_per_mol_fu": 18,
  "crystal_system": "tetragonal",
  "spacegroup": "No. 123",
  "lattice_angstrom": [[-2.398, 1.201, -1.900], [1.075, -1.827, -2.512], [-4.400, -5.468, 2.096]],
  "species": ["Mo", "Ti", "Ti", "Dy"],
  "fractional_positions": [[0.500, 0.500, 0.000], [0.000, 0.000, 0.808], [0.000, 0.000, 0.192], [0.500, 0.500, 0.500]]
}

Entry 6:
{
  "formula": "DyTmMo",
  "functional": "GGA-PBE",
  "state": "relaxed",
  "formation_enthalpy_0k_kj_per_mol_fu": 67,
  "crystal_system": "monoclinic",
  "spacegroup": "No. 12",
  "lattice_angstrom": [[4.347, 0.000, 0.000], [0.000, 5.867, 0.273], [-2.173, -0.954, 6.232]],
  "species": ["Mo", "Mo", "Dy", "Dy", "Tm", "Tm"],
  "fractional_positions": [[0.743, 0.108, 0.486], [0.257, 0.892, 0.514], [0.571, 0.770, 0.141], [0.429, 0.230, 0.859], [0.845, 0.635, 0.690], [0.155, 0.365, 0.310]]
}

Entry 7:
{
  "formula": "DyV4Mo",
  "functional": "GGA-PBE",
  "state": "relaxed",
  "formation_enthalpy_0k_kj_per_mol_fu": 138,
  "crystal_system": "cubic",
  "spacegroup": "No. 216",
  "lattice_angstrom": [[-0.699, 2.887, 4.203], [-4.166, 2.995, 0.401], [-3.715, -1.196, 3.354]],
  "species": ["Mo", "V", "V", "V", "V", "Dy"],
  "fractional_positions": [[0.250, 0.250, 0.250], [0.625, 0.625, 0.124], [0.625, 0.124, 0.625], [0.625, 0.625, 0.625], [0.124, 0.625, 0.625], [0.000, 0.000, 0.000]]
}

Entry 8:
{
  "formula": "DyV2Mo",
  "functional": "GGA-PBE",
  "state": "relaxed",
  "formation_enthalpy_0k_kj_per_mol_fu": 119,
  "crystal_system": "trigonal",
  "spacegroup": "No. 166",
  "lattice_angstrom": [[-0.588, -3.121, -2.882], [-1.144, -3.926, 1.294], [-5.315, -1.097, -0.919]],
  "species": ["Mo", "V", "V", "Dy"],
  "fractional_positions": [[0.000, 0.000, 0.000], [0.296, 0.296, 0.112], [0.704, 0.704, 0.888], [0.500, 0.500, 0.500]]
}

Entry 9:
{
  "formula": "DyYMo4",
  "functional": "GGA-PBE",
  "state": "relaxed",
  "formation_enthalpy_0k_kj_per_mol_fu": 57,
  "crystal_system": "cubic",
  "spacegroup": "No. 216",
  "lattice_angstrom": [[-2.459, -4.579, 1.872], [-1.924, -3.756, -3.565], [2.525, -4.889, -0.492]],
  "species": ["Y", "Mo", "Mo", "Mo", "Mo", "Dy"],
  "fractional_positions": [[0.000, 0.000, 0.000], [0.625, 0.625, 0.125], [0.625, 0.125, 0.625], [0.625, 0.625, 0.625], [0.125, 0.625, 0.625], [0.250, 0.250, 0.250]]
}

Entry 10:
{
  "formula": "DyYMo",
  "functional": "GGA-PBE",
  "state": "relaxed",
  "formation_enthalpy_0k_kj_per_mol_fu": 72,
  "crystal_system": "monoclinic",
  "spacegroup": "No. 12",
  "lattice_angstrom": [[4.321, 0.000, 0.000], [0.000, 5.925, 0.223], [-2.161, -1.037, 6.396]],
  "species": ["Mo", "Mo", "Dy", "Dy", "Y", "Y"],
  "fractional_positions": [[0.745, 0.107, 0.489], [0.255, 0.893, 0.511], [0.573, 0.776, 0.146], [0.427, 0.224, 0.854], [0.849, 0.639, 0.697], [0.151, 0.361, 0.303]]
}

Entry 11:
{
  "formula": "DyZrMo4",
  "functional": "GGA-PBE",
  "state": "relaxed",
  "formation_enthalpy_0k_kj_per_mol_fu": -5,
  "crystal_system": "cubic",
  "spacegroup": "No. 216",
  "lattice_angstrom": [[-3.486, 0.111, 4.187], [1.883, 0.007, 5.114], [-0.442, 4.488, 3.060]],
  "species": ["Mo", "Mo", "Mo", "Mo", "Zr", "Dy"],
  "fractional_positions": [[0.625, 0.625, 0.125], [0.625, 0.125, 0.625], [0.625, 0.625, 0.625], [0.125, 0.625, 0.625], [0.000, 0.000, 0.000], [0.250, 0.250, 0.250]]
}

Entry 12:
{
  "formula": "DyZrMo",
  "functional": "GGA-PBE",
  "state": "relaxed",
  "formation_enthalpy_0k_kj_per_mol_fu": 100,
  "crystal_system": "trigonal",
  "spacegroup": "No. 166",
  "lattice_angstrom": [[4.252, 0.000, 0.000], [2.126, 3.682, 0.000], [2.126, 1.227, 9.813]],
  "species": ["Zr", "Zr", "Dy", "Dy", "Mo", "Mo"],
  "fractional_positions": [[0.556, 0.556, 0.333], [0.444, 0.444, 0.667], [0.292, 0.292, 0.123], [0.708, 0.708, 0.877], [0.846, 0.846, 0.462], [0.154, 0.154, 0.538]]
}

Which formula does entry 12 have? DyZrMo